Computed, not measured: crystalline HfCr3Sn at its relaxed geometry at the PBE level of DFT.

```
data_HfCr3Sn
_cell_length_a 4.860
_cell_length_b 4.860
_cell_length_c 4.860
_cell_angle_alpha 90.00
_cell_angle_beta 90.00
_cell_angle_gamma 90.00
_symmetry_space_group_name_H-M 'P m -3 m'
_symmetry_Int_Tables_number 221
_symmetry_space_group_name_Hall '-P 4 2 3'
loop_
_atom_site_label
_atom_site_type_symbol
_atom_site_fract_x
_atom_site_fract_y
_atom_site_fract_z
Hf1 Hf 0.000 0.000 0.000
Cr1 Cr 0.000 0.500 0.500
Sn1 Sn 0.500 0.500 0.500
```

Output
- N(E_F): 15.9 states/eV per cell
- Energy above the most stable polymorph in this dataset: 0 meV/atom
- Size of the total moment: 8.96 μB/f.u.